Entry 1:
## Li4Ac2Mg5 (GGA-PBE)

Data for Li4Ac2Mg5 after structural relaxation.

abc: 7.473 7.473 9.160
angles: 127.72 127.72 49.48
Positions (direct):
Li (0.247, 0.247, 0.090)
Li (0.248, 0.248, 0.404)
Li (0.752, 0.752, 0.596)
Li (0.753, 0.753, 0.910)
Ac (0.307, 0.307, 0.807)
Ac (0.693, 0.693, 0.193)
Mg (0.000, 0.000, 0.000)
Mg (0.245, 0.755, 0.318)
Mg (0.245, 0.755, 0.682)
Mg (0.755, 0.245, 0.318)
Mg (0.755, 0.245, 0.682)

## Properties
Formation enthalpy at 0 K in eV per formula unit: 0.1


Entry 2:
## Sr7PbN6 (GGA-PBE)

Data for Sr7PbN6 after structural relaxation.

abc: 9.912 9.912 9.912
angles: 139.68 100.61 93.07
Positions (direct):
Sr (0.049, 0.218, 0.267)
Sr (0.089, 0.504, 0.851)
Sr (0.153, 0.004, 0.414)
Sr (0.250, 0.250, 0.000)
Sr (0.347, 0.762, 0.851)
Sr (0.411, 0.262, 0.414)
Sr (0.451, 0.718, 0.168)
Sr (0.549, 0.282, 0.832)
Sr (0.589, 0.738, 0.586)
Sr (0.653, 0.238, 0.149)
Sr (0.750, 0.750, 0.000)
Sr (0.847, 0.996, 0.586)
Sr (0.911, 0.496, 0.149)
Sr (0.951, 0.782, 0.733)
Pb (0.250, 0.750, 0.500)
Pb (0.750, 0.250, 0.500)
N (0.063, 0.881, 0.586)
N (0.150, 0.883, 0.033)
N (0.205, 0.619, 0.182)
N (0.295, 0.477, 0.414)
N (0.350, 0.383, 0.734)
N (0.437, 0.023, 0.818)
N (0.563, 0.977, 0.182)
N (0.650, 0.617, 0.266)
N (0.705, 0.523, 0.586)
N (0.795, 0.381, 0.818)
N (0.850, 0.117, 0.967)
N (0.937, 0.119, 0.414)

## Properties
Formation energy from raw total energies in eV per atom: -0.4010


no.,VASP energy (eV/f.u.)
1,-23.792
2,-71.047